No. 1
Entry from the Alexandria database: a relaxed NaAgPb3 crystal (PBE-GGA).

abc: 5.5871 5.5871 5.5871
angles: 90.00 90.00 90.00
Space group Pm-3m (No. 221)
Asymmetric unit:
Na 0.0000 0.0000 0.0000 (multiplicity 1)
Ag 0.5000 0.5000 0.5000 (multiplicity 1)
Pb 0.0000 0.5000 0.5000 (multiplicity 3)

formation enthalpy at 0 K	0.23	eV/atom
crystal system	cubic
D(E_F)	2.60	states/eV/f.u.
ΔE to the lowest computed polymorph	237	meV/atom

No. 2
Entry from the Alexandria database: a relaxed La5Cu crystal (PBE-GGA).

abc: 9.3015 9.3015 9.3015
angles: 90.00 90.00 90.00
Space group F-43m (No. 216)
Asymmetric unit:
La 0.0000 0.0000 0.0000 (multiplicity 4)
La 0.1243 0.1243 0.6243 (multiplicity 16)
Cu 0.2500 0.2500 0.2500 (multiplicity 4)

formation enthalpy at 0 K	0.45	eV/atom
crystal system	cubic
D(E_F)	7.66	states/eV/f.u.
ΔE to the lowest computed polymorph	494	meV/atom

No. 3
Entry from the Alexandria database: a relaxed LaTaAl3 crystal (PBE-GGA).

abc: 5.1936 5.1936 5.1936
angles: 90.00 90.00 90.00
Space group Pm-3m (No. 221)
Asymmetric unit:
La 0.0000 0.0000 0.0000 (multiplicity 1)
Ta 0.5000 0.5000 0.5000 (multiplicity 1)
Al 0.0000 0.0000 0.5000 (multiplicity 3)

formation enthalpy at 0 K	1.98	eV/atom
crystal system	cubic
D(E_F)	5.78	states/eV/f.u.
ΔE to the lowest computed polymorph	1881	meV/atom

No. 4
Entry from the Alexandria database: a relaxed LaPr8Ho3 crystal (PBE-GGA).

abc: 6.3552 6.3663 11.0072
angles: 106.75 90.04 99.57
Space group P1 (No. 1)
Asymmetric unit:
La 0.0000 0.0000 0.0000 (multiplicity 1)
Pr 0.0024 0.0028 0.3379 (multiplicity 1)
Pr 0.2501 0.5054 0.5890 (multiplicity 1)
Pr 0.2530 0.5035 0.2515 (multiplicity 1)
Pr 0.2540 0.5017 0.9181 (multiplicity 1)
Pr 0.5021 0.0088 0.5076 (multiplicity 1)
Pr 0.5044 0.0072 0.8357 (multiplicity 1)
Pr 0.5063 0.0044 0.1692 (multiplicity 1)
Pr 0.7528 0.5071 0.4216 (multiplicity 1)
Ho 0.7534 0.5024 0.0843 (multiplicity 1)
Ho 0.7549 0.5045 0.7538 (multiplicity 1)
Ho 0.9995 0.0046 0.6705 (multiplicity 1)

formation enthalpy at 0 K	0.02	eV/atom
crystal system	triclinic
D(E_F)	17.83	states/eV/f.u.

No. 5
Entry from the Alexandria database: a relaxed Nd2ScPt crystal (PBE-GGA).

abc: 3.7045 3.7045 31.3822
angles: 90.00 90.00 120.00
Space group R-3m (No. 166, hexagonal axes)
Asymmetric unit:
Nd 0.0000 0.0000 0.1051 (multiplicity 6)
Sc 0.0000 0.0000 0.0000 (multiplicity 3)
Pt 0.0000 0.0000 0.5000 (multiplicity 3)

formation enthalpy at 0 K	-0.13	eV/atom
crystal system	trigonal
D(E_F)	5.30	states/eV/f.u.
ΔE to the lowest computed polymorph	338	meV/atom

No. 6
Entry from the Alexandria database: a relaxed Ac2NdY2 crystal (PBE-GGA).

abc: 6.6171 7.1353 9.7325
angles: 108.15 90.25 117.62
Space group P-1 (No. 2)
Asymmetric unit:
Ac 0.0304 0.3944 0.1509 (multiplicity 2)
Ac 0.3589 0.3890 0.6495 (multiplicity 2)
Nd 0.2393 0.8047 0.5514 (multiplicity 2)
Y 0.1751 0.0001 0.2456 (multiplicity 2)
Y 0.4308 0.1931 0.9500 (multiplicity 2)

formation enthalpy at 0 K	0.06	eV/atom
crystal system	triclinic
D(E_F)	9.08	states/eV/f.u.

No. 7
Entry from the Alexandria database: a relaxed ReAg crystal (PBE-GGA).

abc: 2.7688 4.0671 5.8559
angles: 90.00 91.43 90.00
Space group P2_1/m (No. 11)
Asymmetric unit:
Re 0.1921 0.2500 0.0918 (multiplicity 2)
Ag 0.2572 0.2500 0.6168 (multiplicity 2)

formation enthalpy at 0 K	0.49	eV/atom
crystal system	monoclinic
D(E_F)	1.47	states/eV/f.u.
ΔE to the lowest computed polymorph	241	meV/atom

No. 8
Entry from the Alexandria database: a relaxed HfTiGe2 crystal (PBE-GGA).

abc: 3.7924 3.7924 18.0563
angles: 90.00 90.00 120.00
Space group R-3m (No. 166, hexagonal axes)
Asymmetric unit:
Hf 0.0000 0.0000 0.0000 (multiplicity 3)
Ti 0.0000 0.0000 0.5000 (multiplicity 3)
Ge 0.0000 0.0000 0.2450 (multiplicity 6)

formation enthalpy at 0 K	-0.53	eV/atom
crystal system	trigonal
D(E_F)	0.90	states/eV/f.u.
ΔE to the lowest computed polymorph	6	meV/atom

No. 9
Entry from the Alexandria database: a relaxed PuPa4Ge2 crystal (PBE-GGA).

abc: 7.7590 9.3684 4.5308
angles: 90.00 90.00 90.00
Space group Cmmm (No. 65)
Asymmetric unit:
Pu 0.0000 0.0000 0.0000 (multiplicity 2)
Pa 0.2078 0.5000 0.5000 (multiplicity 4)
Pa 0.2500 0.2500 0.0000 (multiplicity 4)
Ge 0.0000 0.2194 0.5000 (multiplicity 4)

formation enthalpy at 0 K	-0.18	eV/atom
crystal system	orthorhombic
D(E_F)	12.87	states/eV/f.u.

No. 10
Entry from the Alexandria database: a relaxed HfCo4Si2 crystal (PBE-GGA).

abc: 6.9502 6.9502 3.5901
angles: 90.00 90.00 90.00
Space group P4_2/mnm (No. 136)
Asymmetric unit:
Hf 0.0000 0.0000 0.0000 (multiplicity 2)
Co 0.0820 0.3423 0.5000 (multiplicity 8)
Si 0.2227 0.7773 0.5000 (multiplicity 4)

crystal system	tetragonal
D(E_F)	7.38	states/eV/f.u.
ΔE to the lowest computed polymorph	0	meV/atom
ΔE_f (raw)	-0.561	eV per atom

No. 11
Entry from the Alexandria database: a relaxed CsSmHgBr6 crystal (PBE-GGA).

abc: 7.4846 7.4846 8.0535
angles: 90.00 90.00 120.00
Space group P312 (No. 149)
Asymmetric unit:
Cs 0.0000 0.0000 0.0000 (multiplicity 1)
Sm 0.3333 0.6667 0.5000 (multiplicity 1)
Hg 0.6667 0.3333 0.5000 (multiplicity 1)
Br 0.3829 0.0008 0.7094 (multiplicity 6)

crystal system	trigonal
D(E_F)	0.00	states/eV/f.u.
ΔE_f (raw)	-1.386	eV per atom

No. 12
Entry from the Alexandria database: a relaxed YTlCl2 crystal (PBE-GGA).

abc: 3.9383 4.5465 6.2452
angles: 90.00 94.84 90.00
Space group P2/m (No. 10)
Asymmetric unit:
Y 0.0000 0.0000 0.0000 (multiplicity 1)
Tl 0.5000 0.0000 0.5000 (multiplicity 1)
Cl 0.1491 0.5000 0.7716 (multiplicity 2)

crystal system	monoclinic
D(E_F)	1.70	states/eV/f.u.
ΔE to the lowest computed polymorph	172	meV/atom
ΔE_f (raw)	-1.167	eV per atom

No. 13
Entry from the Alexandria database: a relaxed CrFeReTc crystal (PBE-GGA).

abc: 3.0023 4.1660 8.4839
angles: 90.00 90.00 90.00
Space group Imm2 (No. 44)
Asymmetric unit:
Cr 0.0000 0.0000 0.0000 (multiplicity 2)
Fe 0.0000 0.5000 0.7347 (multiplicity 2)
Re 0.0000 0.5000 0.2551 (multiplicity 2)
Tc 0.0000 0.0000 0.4937 (multiplicity 2)

formation enthalpy at 0 K	0.11	eV/atom
crystal system	orthorhombic
D(E_F)	3.89	states/eV/f.u.
ΔE to the lowest computed polymorph	4	meV/atom

No. 14
Entry from the Alexandria database: a relaxed MgZnO2 crystal (PBE-GGA).

abc: 2.9886 2.9886 15.5409
angles: 90.00 90.00 120.00
Space group R3m (No. 160, hexagonal axes)
Asymmetric unit:
Mg 0.0000 0.0000 0.0000 (multiplicity 3)
Zn 0.0000 0.0000 0.1699 (multiplicity 3)
O 0.0000 0.0000 0.4137 (multiplicity 3)
O 0.0000 0.0000 0.5896 (multiplicity 3)

crystal system	trigonal
D(E_F)	0.00	states/eV/f.u.
ΔE to the lowest computed polymorph	157	meV/atom
ΔE_f (raw)	-1.885	eV per atom

No. 15
Entry from the Alexandria database: a relaxed Ba3BPO7 crystal (PBE-GGA).

abc: 5.5966 5.5966 14.9069
angles: 90.00 90.00 120.00
Space group P6_3mc (No. 186)
Asymmetric unit:
Ba 0.0000 0.0000 0.0000 (multiplicity 2)
Ba 0.3333 0.6667 0.1618 (multiplicity 2)
Ba 0.3333 0.6667 0.8780 (multiplicity 2)
B 0.3333 0.6667 0.5208 (multiplicity 2)
P 0.0000 0.0000 0.2757 (multiplicity 2)
O 0.0000 0.0000 0.1715 (multiplicity 2)
O 0.0442 0.5221 0.5214 (multiplicity 6)
O 0.1506 0.3011 0.3120 (multiplicity 6)

crystal system	hexagonal
D(E_F)	0.00	states/eV/f.u.
ΔE_f (raw)	-2.802	eV per atom

No. 16
Entry from the Alexandria database: a relaxed ZnAsI2O crystal (PBE-GGA).

abc: 5.7057 5.7057 3.6931
angles: 90.00 90.00 90.00
Space group P4/mmm (No. 123)
Asymmetric unit:
Zn 0.0000 0.0000 0.0000 (multiplicity 1)
As 0.5000 0.5000 0.5000 (multiplicity 1)
I 0.0000 0.5000 0.0000 (multiplicity 2)
O 0.0000 0.0000 0.5000 (multiplicity 1)

crystal system	tetragonal
D(E_F)	6.60	states/eV/f.u.
ΔE to the lowest computed polymorph	195	meV/atom
ΔE_f (raw)	0.132	eV per atom

No. 17
Entry from the Alexandria database: a relaxed ZnBiOF2 crystal (PBE-GGA).

abc: 4.1182 4.1182 4.0442
angles: 90.00 90.00 90.00
Space group P4/mmm (No. 123)
Asymmetric unit:
Zn 0.0000 0.0000 0.0000 (multiplicity 1)
Bi 0.5000 0.5000 0.5000 (multiplicity 1)
O 0.0000 0.0000 0.5000 (multiplicity 1)
F 0.0000 0.5000 0.0000 (multiplicity 2)

crystal system	tetragonal
D(E_F)	1.93	states/eV/f.u.
ΔE to the lowest computed polymorph	0	meV/atom
ΔE_f (raw)	-1.403	eV per atom

No. 18
Entry from the Alexandria database: a relaxed InB3S crystal (PBE-GGA).

abc: 3.9564 3.9564 3.9564
angles: 90.00 90.00 90.00
Space group Pm-3m (No. 221)
Asymmetric unit:
In 0.0000 0.0000 0.0000 (multiplicity 1)
B 0.0000 0.5000 0.5000 (multiplicity 3)
S 0.5000 0.5000 0.5000 (multiplicity 1)

crystal system	cubic
D(E_F)	1.55	states/eV/f.u.
ΔE to the lowest computed polymorph	0	meV/atom
ΔE_f (raw)	1.591	eV per atom

No. 19
Entry from the Alexandria database: a relaxed Hf2Ru2C crystal (PBE-GGA).

abc: 5.7181 5.7181 4.6775
angles: 90.00 90.00 90.00
Space group P4/mbm (No. 127)
Asymmetric unit:
Hf 0.1737 0.3263 0.0000 (multiplicity 4)
Ru 0.1644 0.6644 0.5000 (multiplicity 4)
C 0.0000 0.0000 0.5000 (multiplicity 2)

formation enthalpy at 0 K	0.11	eV/atom
crystal system	tetragonal
D(E_F)	4.44	states/eV/f.u.
ΔE to the lowest computed polymorph	0	meV/atom

No. 20
Entry from the Alexandria database: a relaxed Rb3GaAu3 crystal (PBE-GGA).

abc: 12.9129 4.8274 16.6948
angles: 90.00 111.53 90.00
Space group C2/m (No. 12)
Asymmetric unit:
Rb 0.0149 0.0000 0.3874 (multiplicity 4)
Rb 0.0996 0.0000 0.9207 (multiplicity 4)
Rb 0.2445 0.5000 0.7742 (multiplicity 4)
Ga 0.2349 0.5000 0.4015 (multiplicity 4)
Au 0.0755 0.5000 0.2480 (multiplicity 4)
Au 0.0976 0.5000 0.0798 (multiplicity 4)
Au 0.1924 0.5000 0.5499 (multiplicity 4)

formation enthalpy at 0 K	-0.28	eV/atom
crystal system	monoclinic
D(E_F)	2.84	states/eV/f.u.
ΔE to the lowest computed polymorph	0	meV/atom

No. 21
Entry from the Alexandria database: a relaxed EuScTc4 crystal (PBE-GGA).

abc: 7.5785 7.5785 7.5785
angles: 90.00 90.00 90.00
Space group F-43m (No. 216)
Asymmetric unit:
Eu 0.0000 0.0000 0.0000 (multiplicity 4)
Sc 0.2500 0.2500 0.7500 (multiplicity 4)
Tc 0.1247 0.1247 0.3753 (multiplicity 16)

formation enthalpy at 0 K	0.03	eV/atom
crystal system	cubic
D(E_F)	5.08	states/eV/f.u.

No. 22
Entry from the Alexandria database: a relaxed Ti4Cu crystal (PBE-GGA).

abc: 4.6090 4.6090 4.6090
angles: 90.00 90.00 90.00
Space group Pm-3m (No. 221)
Asymmetric unit:
Ti 0.0000 0.0000 0.0000 (multiplicity 1)
Ti 0.0000 0.5000 0.5000 (multiplicity 3)
Cu 0.5000 0.5000 0.5000 (multiplicity 1)

formation enthalpy at 0 K	0.71	eV/atom
crystal system	cubic
D(E_F)	8.13	states/eV/f.u.